## Ac3LaPt8 (PBE-GGA)

Data for Ac3LaPt8 after structural relaxation.

Summary:
* magnetization: 0.00 μB per atom
* ΔE_f: -1042 meV/atom

Unit cell a=5.6330 b=5.6330 c=27.6385 alpha=90.00 beta=90.00 gamma=120.00
Space group R3m (No. 160, hexagonal axes)
Asymmetric unit:
Ac1 0.0000 0.0000 0.0000 x3
Ac2 0.0000 0.0000 0.1257 x3
Ac3 0.0000 0.0000 0.5029 x3
La1 0.0000 0.0000 0.6273 x3
Pt1 0.0000 0.0000 0.3138 x3
Pt2 0.0000 0.0000 0.8139 x3
Pt3 0.9997 0.4999 0.0632 x9
Pt4 0.0000 0.5000 0.5645 x9

## Ac5LaPt6 (PBE-GGA)

Data for Ac5LaPt6 after structural relaxation.

Summary:
* magnetization: 0.00 μB per atom
* ΔE_f: -1172 meV/atom

Unit cell a=7.568 b=13.107 c=7.573 alpha=90.00 beta=109.59 gamma=90.00
Space group C2/m (No. 12)
Asymmetric unit:
Ac1 0.000 0.000 0.000 x2
Ac2 0.000 0.166 0.500 x4
Ac3 0.000 0.332 0.000 x4
La1 0.000 0.500 0.500 x2
Pt1 0.245 0.500 0.252 x4
Pt2 0.246 0.336 0.747 x8